(1)
# Zr3Zn3CuPd2 | Alexandria | PBE-GGA | optimized geometry
# Energy of formation, eV per atom: -0.458
# Theoretical density, g/cm³: 7.9
# Crystal system: hexagonal
# Magnetic moment, μB/f.u.: 0.0
# Space-group type: No. 189
data_Zr3Zn3CuPd2
_chemical_formula_sum 'Zr3 Zn3 Cu1 Pd2'
_cell_length_a 3.490
_cell_length_b 7.188
_cell_length_c 7.188
_cell_angle_alpha 120.00
_cell_angle_beta 90.00
_cell_angle_gamma 90.00
_space_group_name_H-M_alt 'P 1'
_space_group_IT_number 1
_space_group_name_Hall 'P 1'
loop_
_atom_site_label
_atom_site_fract_x
_atom_site_fract_y
_atom_site_fract_z
Zr1 0.000 0.000 0.401
Zr2 0.000 0.599 0.599
Zr3 0.000 0.401 0.000
Zn1 0.500 0.743 0.000
Zn2 0.500 0.257 0.257
Zn3 0.500 0.000 0.743
Cu1 0.000 0.000 0.000
Pd1 0.500 0.333 0.667
Pd2 0.500 0.667 0.333


(2)
# PrZnGa2Au | Alexandria | PBE-GGA | optimized geometry
# Energy of formation, eV per atom: -0.574
# Theoretical density, g/cm³: 8.9
# Crystal system: tetragonal
# Magnetic moment, μB/f.u.: 0.0
# Space-group type: No. 119
data_PrZnGa2Au
_chemical_formula_sum 'Pr1 Zn1 Ga2 Au1'
_cell_length_a 4.329
_cell_length_b 4.329
_cell_length_c 6.192
_cell_angle_alpha 110.46
_cell_angle_beta 110.46
_cell_angle_gamma 90.00
_space_group_name_H-M_alt 'P 1'
_space_group_IT_number 1
_space_group_name_Hall 'P 1'
loop_
_atom_site_label
_atom_site_fract_x
_atom_site_fract_y
_atom_site_fract_z
Pr1 0.000 0.000 0.000
Zn1 0.250 0.750 0.500
Ga1 0.615 0.615 0.230
Ga2 0.385 0.385 0.770
Au1 0.750 0.250 0.500


(3)
# Ta6Ir3N | Alexandria | PBE-GGA | optimized geometry
# Theoretical density, g/cm³: 16.8
# Crystal system: monoclinic
# Formation energy without anion corrections, meV/atom: -394
# Magnetic moment, μB/f.u.: 0.0
# Space-group type: No. 14
data_Ta6Ir3N
_chemical_formula_sum 'Ta12 Ir6 N2'
_cell_length_a 5.580
_cell_length_b 7.420
_cell_length_c 8.023
_cell_angle_alpha 90.00
_cell_angle_beta 85.44
_cell_angle_gamma 90.00
_space_group_name_H-M_alt 'P 1'
_space_group_IT_number 1
_space_group_name_Hall 'P 1'
loop_
_atom_site_label
_atom_site_fract_x
_atom_site_fract_y
_atom_site_fract_z
Ta1 0.671 0.147 0.970
Ta2 0.661 0.262 0.604
Ta3 0.685 0.401 0.261
Ta4 0.315 0.599 0.739
Ta5 0.339 0.738 0.396
Ta6 0.329 0.853 0.030
Ta7 0.171 0.353 0.470
Ta8 0.161 0.238 0.104
Ta9 0.185 0.099 0.761
Ta10 0.815 0.901 0.239
Ta11 0.839 0.762 0.896
Ta12 0.829 0.647 0.530
Ir1 0.583 0.919 0.689
Ir2 0.500 0.500 0.000
Ir3 0.417 0.081 0.311
Ir4 0.083 0.581 0.189
Ir5 0.000 0.000 0.500
Ir6 0.917 0.419 0.811
N1 0.500 0.500 0.500
N2 0.000 0.000 0.000


(4)
# PPb2W | Alexandria | PBE-GGA | optimized geometry
# Energy of formation, eV per atom: 0.189
# Theoretical density, g/cm³: 11.3
# Crystal system: trigonal
# Magnetic moment, μB/f.u.: 0.0
# Space-group type: No. 160
data_PPb2W
_chemical_formula_sum 'P1 Pb2 W1'
_cell_length_a 10.309
_cell_length_b 10.309
_cell_length_c 10.309
_cell_angle_alpha 18.09
_cell_angle_beta 18.09
_cell_angle_gamma 18.09
_space_group_name_H-M_alt 'P 1'
_space_group_IT_number 1
_space_group_name_Hall 'P 1'
loop_
_atom_site_label
_atom_site_fract_x
_atom_site_fract_y
_atom_site_fract_z
P1 0.231 0.231 0.231
Pb1 0.988 0.988 0.988
Pb2 0.766 0.766 0.766
W1 0.514 0.514 0.514


(5)
# Hf2MgAg2 | Alexandria | PBE-GGA | optimized geometry
# Energy of formation, eV per atom: 0.098
# Theoretical density, g/cm³: 9.6
# Crystal system: tetragonal
# Magnetic moment, μB/f.u.: 0.0
# Space-group type: No. 127
data_Hf2MgAg2
_chemical_formula_sum 'Hf4 Mg2 Ag4'
_cell_length_a 7.633
_cell_length_b 7.633
_cell_length_c 3.533
_cell_angle_alpha 90.00
_cell_angle_beta 90.00
_cell_angle_gamma 90.00
_space_group_name_H-M_alt 'P 1'
_space_group_IT_number 1
_space_group_name_Hall 'P 1'
loop_
_atom_site_label
_atom_site_fract_x
_atom_site_fract_y
_atom_site_fract_z
Mg1 0.000 0.000 0.000
Mg2 0.500 0.500 0.000
Hf1 0.168 0.668 0.500
Hf2 0.668 0.832 0.500
Hf3 0.832 0.332 0.500
Hf4 0.332 0.168 0.500
Ag1 0.370 0.870 0.000
Ag2 0.870 0.630 0.000
Ag3 0.630 0.130 0.000
Ag4 0.130 0.370 0.000


(6)
# BiOsBr2 | Alexandria | PBE-GGA | optimized geometry
# Theoretical density, g/cm³: 8.4
# Crystal system: trigonal
# Formation energy without anion corrections, meV/atom: 653
# Magnetic moment, μB/f.u.: 0.0
# Space-group type: No. 166
data_BiOsBr2
_chemical_formula_sum 'Bi1 Os1 Br2'
_cell_length_a 12.785
_cell_length_b 12.785
_cell_length_c 12.785
_cell_angle_alpha 14.25
_cell_angle_beta 14.25
_cell_angle_gamma 14.25
_space_group_name_H-M_alt 'P 1'
_space_group_IT_number 1
_space_group_name_Hall 'P 1'
loop_
_atom_site_label
_atom_site_fract_x
_atom_site_fract_y
_atom_site_fract_z
Os1 0.000 0.000 0.000
Bi1 0.500 0.500 0.500
Br1 0.938 0.938 0.938
Br2 0.062 0.062 0.062


(7)
# PaInO4F | Alexandria | PBE-GGA | optimized geometry
# Theoretical density, g/cm³: 6.5
# Crystal system: monoclinic
# Formation energy without anion corrections, meV/atom: -2409
# Magnetic moment, μB/f.u.: 1.0
# Space-group type: No. 12
data_PaInO4F
_chemical_formula_sum 'Pa2 In2 O8 F2'
_cell_length_a 5.936
_cell_length_b 5.936
_cell_length_c 6.685
_cell_angle_alpha 83.49
_cell_angle_beta 83.49
_cell_angle_gamma 70.77
_space_group_name_H-M_alt 'P 1'
_space_group_IT_number 1
_space_group_name_Hall 'P 1'
loop_
_atom_site_label
_atom_site_fract_x
_atom_site_fract_y
_atom_site_fract_z
Pa1 0.205 0.205 0.904
Pa2 0.795 0.795 0.096
In1 0.623 0.623 0.651
In2 0.377 0.377 0.349
O1 0.199 0.199 0.564
O2 0.801 0.801 0.436
O3 0.134 0.521 0.124
O4 0.597 0.597 0.318
O5 0.479 0.866 0.876
O6 0.521 0.134 0.124
O7 0.403 0.403 0.682
O8 0.866 0.479 0.876
F1 0.035 0.035 0.176
F2 0.965 0.965 0.824


(8)
# Dy6Cd2Co | Alexandria | PBE-GGA | optimized geometry
# Energy of formation, eV per atom: -0.146
# Theoretical density, g/cm³: 8.3
# Crystal system: monoclinic
# Magnetic moment, μB/f.u.: 0.0
# Space-group type: No. 14
data_Dy6Cd2Co
_chemical_formula_sum 'Dy12 Cd4 Co2'
_cell_length_a 7.205
_cell_length_b 7.122
_cell_length_c 9.795
_cell_angle_alpha 90.00
_cell_angle_beta 90.80
_cell_angle_gamma 90.00
_space_group_name_H-M_alt 'P 1'
_space_group_IT_number 1
_space_group_name_Hall 'P 1'
loop_
_atom_site_label
_atom_site_fract_x
_atom_site_fract_y
_atom_site_fract_z
Dy1 0.928 0.000 0.247
Dy2 0.750 0.748 0.539
Dy3 0.751 0.751 0.961
Dy4 0.749 0.251 0.539
Dy5 0.750 0.248 0.961
Dy6 0.572 0.500 0.253
Dy7 0.072 0.000 0.753
Dy8 0.250 0.252 0.461
Dy9 0.249 0.249 0.039
Dy10 0.251 0.749 0.461
Dy11 0.250 0.752 0.039
Dy12 0.428 0.500 0.747
Cd1 0.001 0.499 0.756
Cd2 0.499 0.999 0.744
Cd3 0.501 0.001 0.256
Cd4 0.999 0.501 0.244
Co1 0.500 0.500 0.000
Co2 0.000 0.000 0.500


(9)
# KRh2Pb | Alexandria | PBE-GGA | optimized geometry
# Energy of formation, eV per atom: 0.154
# Theoretical density, g/cm³: 6.6
# Crystal system: monoclinic
# Magnetic moment, μB/f.u.: 0.0
# Space-group type: No. 12
data_KRh2Pb
_chemical_formula_sum 'K1 Rh2 Pb1'
_cell_length_a 4.681
_cell_length_b 4.681
_cell_length_c 6.552
_cell_angle_alpha 69.31
_cell_angle_beta 69.31
_cell_angle_gamma 60.02
_space_group_name_H-M_alt 'P 1'
_space_group_IT_number 1
_space_group_name_Hall 'P 1'
loop_
_atom_site_label
_atom_site_fract_x
_atom_site_fract_y
_atom_site_fract_z
K1 0.750 0.750 0.750
Pb1 0.250 0.250 0.250
Rh1 0.926 0.926 0.220
Rh2 0.574 0.574 0.280


(10)
# TeIrO2F | Alexandria | PBE-GGA | optimized geometry
# Theoretical density, g/cm³: 8.0
# Crystal system: tetragonal
# Formation energy without anion corrections, meV/atom: 333
# Magnetic moment, μB/f.u.: 2.1
# Space-group type: No. 123
data_TeIrO2F
_chemical_formula_sum 'Te1 Ir1 O2 F1'
_cell_length_a 4.234
_cell_length_b 4.234
_cell_length_c 4.285
_cell_angle_alpha 90.00
_cell_angle_beta 90.00
_cell_angle_gamma 90.00
_space_group_name_H-M_alt 'P 1'
_space_group_IT_number 1
_space_group_name_Hall 'P 1'
loop_
_atom_site_label
_atom_site_fract_x
_atom_site_fract_y
_atom_site_fract_z
Ir1 0.500 0.500 0.500
Te1 0.000 0.000 0.000
O1 0.000 0.500 0.000
O2 0.500 0.000 0.000
F1 0.000 0.000 0.500


(11)
# PuCoSi | Alexandria | PBE-GGA | optimized geometry
# Theoretical density, g/cm³: 10.4
# Crystal system: hexagonal
# Formation energy without anion corrections, meV/atom: -391
# Magnetic moment, μB/f.u.: 4.5
# Space-group type: No. 187
data_PuCoSi
_chemical_formula_sum 'Pu1 Co1 Si1'
_cell_length_a 3.765
_cell_length_b 4.028
_cell_length_c 4.028
_cell_angle_alpha 120.00
_cell_angle_beta 90.00
_cell_angle_gamma 90.00
_space_group_name_H-M_alt 'P 1'
_space_group_IT_number 1
_space_group_name_Hall 'P 1'
loop_
_atom_site_label
_atom_site_fract_x
_atom_site_fract_y
_atom_site_fract_z
Si1 0.167 0.000 0.000
Co1 0.167 0.667 0.333
Pu1 0.667 0.333 0.667


(12)
# Ti3NiHg | Alexandria | PBE-GGA | optimized geometry
# Energy of formation, eV per atom: 0.241
# Theoretical density, g/cm³: 7.1
# Crystal system: cubic
# Magnetic moment, μB/f.u.: 0.0
# Space-group type: No. 221
data_Ti3NiHg
_chemical_formula_sum 'Ti3 Ni1 Hg1'
_cell_length_a 4.553
_cell_length_b 4.553
_cell_length_c 4.553
_cell_angle_alpha 90.00
_cell_angle_beta 90.00
_cell_angle_gamma 90.00
_space_group_name_H-M_alt 'P 1'
_space_group_IT_number 1
_space_group_name_Hall 'P 1'
loop_
_atom_site_label
_atom_site_fract_x
_atom_site_fract_y
_atom_site_fract_z
Ni1 0.000 0.000 0.000
Hg1 0.500 0.500 0.500
Ti1 0.000 0.500 0.000
Ti2 0.000 0.000 0.500
Ti3 0.500 0.000 0.000